No. 1
## LiH8N2 (PBE-GGA)

Data for a geometry-optimized LiH8N2 structure.

POSCAR file:
```
LiH8N2
1.0
5.777 -3.568 0.000
5.777 3.568 0.000
-0.527 0.000 6.169
Li H N
2 16 4
direct
0.090 0.910 0.750 Li
0.910 0.090 0.250 Li
0.125 0.385 0.235 H
0.168 0.582 0.111 H
0.173 0.584 0.387 H
0.375 0.385 0.748 H
0.385 0.125 0.735 H
0.385 0.375 0.248 H
0.416 0.827 0.113 H
0.418 0.832 0.389 H
0.582 0.168 0.611 H
0.584 0.173 0.887 H
0.615 0.625 0.752 H
0.615 0.875 0.265 H
0.625 0.615 0.252 H
0.827 0.416 0.613 H
0.832 0.418 0.889 H
0.875 0.615 0.765 H
0.214 0.480 0.245 N
0.480 0.214 0.745 N
0.520 0.786 0.255 N
0.786 0.520 0.755 N
```

Properties
Spin magnetization   0.000 μB per atom
SG   C2/c (15)
V   127 Å³/f.u.
Electronic total energy   -4.113 eV/atom



No. 2
## Na6InAu (PBE-GGA)

Data for a geometry-optimized Na6InAu structure.

POSCAR file:
```
Na6InAu
1.0
6.032 0.000 0.000
-0.032 6.033 0.000
-0.067 -0.066 6.032
Na In Au
6 1 1
direct
0.002 0.004 0.254 Na
0.246 0.499 0.996 Na
0.498 0.745 0.498 Na
0.502 0.255 0.502 Na
0.754 0.501 0.004 Na
0.998 0.996 0.746 Na
0.500 0.000 0.000 In
0.000 0.500 0.500 Au
```

Properties
Spin magnetization   0.000 μB per atom
SG   P-1 (2)
Formation energy from the elements   -109 meV per atom
V   220 Å³/f.u.